[1]
An optimized crystal structure of Sc8Ru. Source: Alexandria, functional PBE-GGA. Values from VASP.

Quantum ESPRESSO input file:
```
&SYSTEM
  ibrav = 0, nat = 9, ntyp = 2
/
ATOMIC_SPECIES
Sc 44.96 Sc.upf
Ru 101.07 Ru.upf
CELL_PARAMETERS angstrom
2.9842 -4.3903 4.4002
-1.0790 6.7857 -0.5765
-6.5321 -1.8159 1.2554
ATOMIC_POSITIONS crystal
Sc 0.0000 0.3043 0.3043
Sc 0.0000 0.6957 0.6957
Sc 0.3043 0.0000 0.3043
Sc 0.3408 0.3408 0.6815
Sc 0.3408 0.6592 0.0000
Sc 0.6957 0.0000 0.6957
Sc 0.6592 0.3408 0.0000
Sc 0.6592 0.6592 0.3185
Ru 0.0000 0.0000 0.0000
```

Calculated formation energy: -0.01 eV per atom

=====

[2]
An optimized crystal structure of YSbRh2. Source: Alexandria, functional PBE-GGA. Values from VASP.

Quantum ESPRESSO input file:
```
&SYSTEM
  ibrav = 0, nat = 4, ntyp = 3
/
ATOMIC_SPECIES
Rh 102.91 Rh.upf
Sb 121.76 Sb.upf
Y 88.91 Y.upf
CELL_PARAMETERS angstrom
-1.7435 4.3293 -0.9959
-1.1001 1.1525 -4.4985
-4.5687 0.4942 -1.2875
ATOMIC_POSITIONS crystal
Rh 0.0000 0.0000 0.0000
Rh 0.2500 0.2500 0.2500
Sb 0.5000 0.5000 0.5000
Y 0.7500 0.7500 0.7500
```

Raw formation energy: -0.31 eV per atom

=====

[3]
An optimized crystal structure of AlInSn2B. Source: Alexandria, functional PBE-GGA. Values from VASP.

Quantum ESPRESSO input file:
```
&SYSTEM
  ibrav = 0, nat = 5, ntyp = 4
/
ATOMIC_SPECIES
B 10.81 B.upf
Al 26.98 Al.upf
Sn 118.71 Sn.upf
In 114.82 In.upf
CELL_PARAMETERS angstrom
-1.7612 4.9250 -0.1757
-2.0213 -0.6010 3.4156
4.1644 1.5871 2.7437
ATOMIC_POSITIONS crystal
B 0.0000 0.0000 0.0000
Al 0.0000 0.5000 0.0000
Sn 0.0000 0.0000 0.5000
Sn 0.5000 0.0000 0.0000
In 0.5000 0.5000 0.5000
```

Calculated formation energy: 0.43 eV per atom

=====

| no. | theoretical density (g/cm3) |
| --- | --- |
| 1 | 3.760 |
| 2 | 8.999 |
| 3 | 5.891 |